No. 1
# AlCrOs2 PBE-GGA optimized geometry
data_AlCrOs2
_chemical_formula_sum 'Al1 Cr1 Os2'
_space_group_name_H-M_alt 'P 1'
_space_group_IT_number 1
_cell_length_a 2.971
_cell_length_b 2.971
_cell_length_c 6.100
_cell_angle_alpha 90.00
_cell_angle_beta 90.00
_cell_angle_gamma 90.00
loop_
_space_group_symop_operation_xyz
'x,y,z'
loop_
_atom_site_label
_atom_site_type_symbol
_atom_site_fract_x
_atom_site_fract_y
_atom_site_fract_z
_atom_site_occupancy
Al1 Al 0.000 0.000 0.000 1
Cr1 Cr 0.000 0.000 0.500 1
Os1 Os 0.500 0.500 0.254 1
Os2 Os 0.500 0.500 0.746 1
# Symmetry: P4/mmm, No. 123
# DFT formation energy: -224 meV per atom
# Crystal system: tetragonal

---

No. 2
# AlCrOs PBE-GGA optimized geometry
data_AlCrOs
_chemical_formula_sum 'Al1 Cr1 Os1'
_space_group_name_H-M_alt 'P 1'
_space_group_IT_number 1
_cell_length_a 4.138
_cell_length_b 4.138
_cell_length_c 2.710
_cell_angle_alpha 90.00
_cell_angle_beta 90.00
_cell_angle_gamma 120.00
loop_
_space_group_symop_operation_xyz
'x,y,z'
loop_
_atom_site_label
_atom_site_type_symbol
_atom_site_fract_x
_atom_site_fract_y
_atom_site_fract_z
_atom_site_occupancy
Al1 Al 0.000 0.000 0.000 1
Cr1 Cr 0.333 0.667 0.343 1
Os1 Os 0.667 0.333 0.639 1
# Polymorph energy (0 for the lowest one): 202 meV/atom
# Symmetry: P3m1, No. 156
# DFT formation energy: -58 meV per atom
# Crystal system: trigonal